Density functional theory data (GGA-PBE) for a relaxed structure of LiReP2Cl.

The structure in CIF format:
```
data_LiReP2Cl
_chemical_formula_sum 'Li1 Re1 P2 Cl1'
_space_group_name_H-M_alt 'P 4/m m m'
_space_group_IT_number 123
_space_group_name_Hall '-P 4 2'
_cell_length_a 4.2436
_cell_length_b 4.2436
_cell_length_c 4.2746
_cell_angle_alpha 90.00
_cell_angle_beta 90.00
_cell_angle_gamma 90.00
loop_
_atom_site_label
_atom_site_type_symbol
_atom_site_fract_x
_atom_site_fract_y
_atom_site_fract_z
_atom_site_occupancy
Li1 Li 0.0000 0.0000 0.0000 1
Re1 Re 0.5000 0.5000 0.5000 1
P1 P 0.0000 0.5000 0.0000 1
Cl1 Cl 0.0000 0.0000 0.5000 1
```

Properties
DFT total energy = -20.7 eV for the cell shown
E above lowest polymorph = 604.0 kJ/mol of formula units
energy relative to the elements, uncorrected = 1.273 eV/atom
D(E_F) = 5.81 states/eV/f.u.

***

Density functional theory data (GGA-PBE) for a relaxed structure of LiRe2PCl.

The structure in CIF format:
```
data_LiRe2PCl
_chemical_formula_sum 'Li1 Re2 P1 Cl1'
_space_group_name_H-M_alt 'P 4/m m m'
_space_group_IT_number 123
_space_group_name_Hall '-P 4 2'
_cell_length_a 4.4179
_cell_length_b 4.4179
_cell_length_c 3.6189
_cell_angle_alpha 90.00
_cell_angle_beta 90.00
_cell_angle_gamma 90.00
loop_
_atom_site_label
_atom_site_type_symbol
_atom_site_fract_x
_atom_site_fract_y
_atom_site_fract_z
_atom_site_occupancy
Li1 Li 0.0000 0.0000 0.0000 1
Re1 Re 0.0000 0.5000 0.0000 1
P1 P 0.5000 0.5000 0.5000 1
Cl1 Cl 0.0000 0.0000 0.5000 1
```

Properties
DFT total energy = -25.8 eV for the cell shown
energy relative to the elements, uncorrected = 1.650 eV/atom
D(E_F) = 6.08 states/eV/f.u.

***

Density functional theory data (GGA-PBE) for a relaxed structure of LiP2RhCl.

The structure in CIF format:
```
data_LiP2RhCl
_chemical_formula_sum 'Li1 P2 Rh1 Cl1'
_space_group_name_H-M_alt 'P 4/m m m'
_space_group_IT_number 123
_space_group_name_Hall '-P 4 2'
_cell_length_a 4.3525
_cell_length_b 4.3525
_cell_length_c 8.3613
_cell_angle_alpha 90.00
_cell_angle_beta 90.00
_cell_angle_gamma 90.00
loop_
_atom_site_label
_atom_site_type_symbol
_atom_site_fract_x
_atom_site_fract_y
_atom_site_fract_z
_atom_site_occupancy
Li1 Li 0.0000 0.0000 0.0000 1
P1 P 0.0000 0.5000 0.5000 1
Rh1 Rh 0.5000 0.5000 0.5000 1
Cl1 Cl 0.5000 0.5000 0.0000 1
```

Properties
DFT total energy = -22.3 eV for the cell shown
E above lowest polymorph = 0.0 kJ/mol of formula units
energy relative to the elements, uncorrected = -0.068 eV/atom
D(E_F) = 2.44 states/eV/f.u.

***

Density functional theory data (GGA-PBE) for a relaxed structure of LiP2RhCl.

The structure in CIF format:
```
data_LiP2RhCl
_chemical_formula_sum 'Li1 P2 Rh1 Cl1'
_space_group_name_H-M_alt 'P 4/m m m'
_space_group_IT_number 123
_space_group_name_Hall '-P 4 2'
_cell_length_a 4.2667
_cell_length_b 4.2667
_cell_length_c 4.4622
_cell_angle_alpha 90.00
_cell_angle_beta 90.00
_cell_angle_gamma 90.00
loop_
_atom_site_label
_atom_site_type_symbol
_atom_site_fract_x
_atom_site_fract_y
_atom_site_fract_z
_atom_site_occupancy
Li1 Li 0.0000 0.0000 0.0000 1
P1 P 0.0000 0.5000 0.0000 1
Rh1 Rh 0.5000 0.5000 0.5000 1
Cl1 Cl 0.0000 0.0000 0.5000 1
```

Properties
DFT total energy = -18.1 eV for the cell shown
E above lowest polymorph = 402.5 kJ/mol of formula units
energy relative to the elements, uncorrected = 0.766 eV/atom
D(E_F) = 3.21 states/eV/f.u.

***

Density functional theory data (GGA-PBE) for a relaxed structure of LiPRuCl2.

The structure in CIF format:
```
data_LiPRuCl2
_chemical_formula_sum 'Li1 P1 Ru1 Cl2'
_space_group_name_H-M_alt 'P 4/m m m'
_space_group_IT_number 123
_space_group_name_Hall '-P 4 2'
_cell_length_a 4.2873
_cell_length_b 4.2873
_cell_length_c 5.2672
_cell_angle_alpha 90.00
_cell_angle_beta 90.00
_cell_angle_gamma 90.00
loop_
_atom_site_label
_atom_site_type_symbol
_atom_site_fract_x
_atom_site_fract_y
_atom_site_fract_z
_atom_site_occupancy
Li1 Li 0.0000 0.0000 0.0000 1
P1 P 0.0000 0.0000 0.5000 1
Ru1 Ru 0.5000 0.5000 0.5000 1
Cl1 Cl 0.0000 0.5000 0.0000 1
```

Properties
DFT total energy = -17.4 eV for the cell shown
E above lowest polymorph = 390.5 kJ/mol of formula units
energy relative to the elements, uncorrected = 0.575 eV/atom
D(E_F) = 5.29 states/eV/f.u.

***

Density functional theory data (GGA-PBE) for a relaxed structure of LiPRuCl2.

The structure in CIF format:
```
data_LiPRuCl2
_chemical_formula_sum 'Li1 P1 Ru1 Cl2'
_space_group_name_H-M_alt 'P 4/m m m'
_space_group_IT_number 123
_space_group_name_Hall '-P 4 2'
_cell_length_a 5.0605
_cell_length_b 5.0605
_cell_length_c 4.4165
_cell_angle_alpha 90.00
_cell_angle_beta 90.00
_cell_angle_gamma 90.00
loop_
_atom_site_label
_atom_site_type_symbol
_atom_site_fract_x
_atom_site_fract_y
_atom_site_fract_z
_atom_site_occupancy
Li1 Li 0.0000 0.0000 0.0000 1
P1 P 0.5000 0.5000 0.0000 1
Ru1 Ru 0.5000 0.5000 0.5000 1
Cl1 Cl 0.0000 0.5000 0.5000 1
```

Properties
DFT total energy = -21.5 eV for the cell shown
E above lowest polymorph = 0.0 kJ/mol of formula units
energy relative to the elements, uncorrected = -0.234 eV/atom
D(E_F) = 5.25 states/eV/f.u.

***

Density functional theory data (GGA-PBE) for a relaxed structure of LiPS2Cl.

The structure in CIF format:
```
data_LiPS2Cl
_chemical_formula_sum 'Li1 P1 S2 Cl1'
_space_group_name_H-M_alt 'P 4/m m m'
_space_group_IT_number 123
_space_group_name_Hall '-P 4 2'
_cell_length_a 4.9060
_cell_length_b 4.9060
_cell_length_c 4.6442
_cell_angle_alpha 90.00
_cell_angle_beta 90.00
_cell_angle_gamma 90.00
loop_
_atom_site_label
_atom_site_type_symbol
_atom_site_fract_x
_atom_site_fract_y
_atom_site_fract_z
_atom_site_occupancy
Li1 Li 0.0000 0.0000 0.0000 1
P1 P 0.5000 0.5000 0.0000 1
S1 S 0.0000 0.5000 0.5000 1
Cl1 Cl 0.5000 0.5000 0.5000 1
```

Properties
DFT total energy = -13.2 eV for the cell shown
E above lowest polymorph = 491.8 kJ/mol of formula units
energy relative to the elements, uncorrected = 0.836 eV/atom
D(E_F) = 2.34 states/eV/f.u.

***

Density functional theory data (GGA-PBE) for a relaxed structure of LiPS2Cl.

The structure in CIF format:
```
data_LiPS2Cl
_chemical_formula_sum 'Li1 P1 S2 Cl1'
_space_group_name_H-M_alt 'P 4/m m m'
_space_group_IT_number 123
_space_group_name_Hall '-P 4 2'
_cell_length_a 4.4706
_cell_length_b 4.4706
_cell_length_c 5.1770
_cell_angle_alpha 90.00
_cell_angle_beta 90.00
_cell_angle_gamma 90.00
loop_
_atom_site_label
_atom_site_type_symbol
_atom_site_fract_x
_atom_site_fract_y
_atom_site_fract_z
_atom_site_occupancy
Li1 Li 0.0000 0.0000 0.0000 1
P1 P 0.5000 0.5000 0.5000 1
S1 S 0.0000 0.5000 0.5000 1
Cl1 Cl 0.5000 0.5000 0.0000 1
```

Properties
DFT total energy = -18.3 eV for the cell shown
E above lowest polymorph = 0.0 kJ/mol of formula units
energy relative to the elements, uncorrected = -0.184 eV/atom
D(E_F) = 1.28 states/eV/f.u.

***

Number 1: magnetic moment 0.000 μB/atom. Number 2: magnetic moment 0.000 μB/atom. Number 3: magnetic moment 0.078 μB/atom. Number 4: magnetic moment 0.000 μB/atom. Number 5: magnetic moment 0.521 μB/atom. Number 6: magnetic moment 0.000 μB/atom. Number 7: magnetic moment 0.433 μB/atom. Number 8: magnetic moment 0.000 μB/atom.